# 1
# MnTePt

A PBEsol-optimized structure of MnTePt (meta-GGA SCAN, Alexandria).

Lattice parameters (Å, degrees): 4.299 4.299 4.299 60.00 60.00 60.00
Each line ends with the local moment (μB).
Element x y z (fractional)
Mn: 0.250 0.250 0.250  3.59
Pt: 0.000 0.000 0.000  0.15
Te: 0.500 0.500 0.500  -0.12

## Properties
ρ: 11161 kg/m³
Formation energy from raw total energies: -0.8 eV per formula unit
Space-group type: No. 216

=====

# 2
# Ti2MnPt2

A PBEsol-optimized structure of Ti2MnPt2 (meta-GGA SCAN, Alexandria).

Lattice parameters (Å, degrees): 3.723 3.723 6.702 106.13 106.13 90.00
Each line ends with the local moment (μB).
Element x y z (fractional)
Mn: 0.000 0.000 0.000  4.02
Pt: 0.250 0.750 0.500  0.02
Pt: 0.750 0.250 0.500  0.02
Ti: 0.395 0.395 0.791  -0.79
Ti: 0.605 0.605 0.209  -0.79

## Properties
ρ: 10513 kg/m³
Energy of formation: -424 meV per atom
Space-group type: No. 139

=====

# 3
# MnTl2Pt

A PBEsol-optimized structure of MnTl2Pt (meta-GGA SCAN, Alexandria).

Lattice parameters (Å, degrees): 3.278 3.278 7.603 90.00 90.00 90.00
Each line ends with the local moment (μB).
Element x y z (fractional)
Mn: 0.000 0.000 0.546  4.12
Pt: 0.500 0.500 0.703  0.24
Tl: 0.000 0.000 0.957  0.02
Tl: 0.500 0.500 0.294  -0.01

## Properties
ρ: 13388 kg/m³
Energy of formation: -127 meV per atom
Space-group type: No. 99

=====

# 4
# MnTlPt

A PBEsol-optimized structure of MnTlPt (meta-GGA SCAN, Alexandria).

Lattice parameters (Å, degrees): 3.435 3.435 5.023 110.00 110.00 90.00
Each line ends with the local moment (μB).
Element x y z (fractional)
Mn: 0.986 0.986 0.971  4.17
Pt: 0.347 0.347 0.693  0.22
Tl: 0.668 0.668 0.335  0.01

## Properties
ρ: 14545 kg/m³
Energy of formation: -226 meV per atom
Space-group type: No. 107